Record 1
{"formula": "Li2Cu2Sn", "functional": "PBE-GGA", "state": "optimized geometry", "dos_at_fermi_per_ev_cell": 1.2, "mass_density_g_cm3": 5.8, "polymorph_energy_ev_per_atom": 0.0000, "ef_ev_per_atom": -0.21, "final_energy_ev_per_atom": -3.41, "m_tot_mub_per_fu": 0.00, "lattice": [[3.821, -2.166, 0.000], [3.821, 2.166, 0.000], [-2.587, 0.000, 4.517]], "species": ["Li", "Li", "Cu", "Cu", "Sn"], "fractional_positions": [[0.208, 0.208, 0.124], [0.792, 0.792, 0.876], [0.407, 0.407, 0.721], [0.593, 0.593, 0.279], [0.000, 0.000, 0.500]]}

Record 2
{"formula": "Li9Cu4Sn11", "functional": "PBE-GGA", "state": "optimized geometry", "dos_at_fermi_per_ev_cell": 7.1, "mass_density_g_cm3": 5.6, "ef_ev_per_atom": -0.21, "final_energy_ev_per_atom": -3.44, "m_tot_mub_per_fu": 0.00, "lattice": [[6.901, -10.192, 0.000], [6.901, 10.192, 0.000], [0.000, 0.000, 3.418]], "species": ["Li", "Li", "Li", "Li", "Li", "Li", "Li", "Li", "Li", "Cu", "Cu", "Cu", "Cu", "Sn", "Sn", "Sn", "Sn", "Sn", "Sn", "Sn", "Sn", "Sn", "Sn", "Sn"], "fractional_positions": [[0.000, 0.000, 0.000], [0.132, 0.659, 0.000], [0.286, 0.434, 0.000], [0.341, 0.868, 0.000], [0.434, 0.286, 0.000], [0.566, 0.714, 0.000], [0.659, 0.132, 0.000], [0.714, 0.566, 0.000], [0.868, 0.341, 0.000], [0.051, 0.254, 0.000], [0.254, 0.051, 0.000], [0.746, 0.949, 0.000], [0.949, 0.746, 0.000], [0.089, 0.438, 0.500], [0.130, 0.870, 0.500], [0.200, 0.200, 0.500], [0.340, 0.660, 0.500], [0.438, 0.089, 0.500], [0.500, 0.500, 0.500], [0.562, 0.911, 0.500], [0.660, 0.340, 0.500], [0.800, 0.800, 0.500], [0.870, 0.130, 0.500], [0.911, 0.562, 0.500]]}

Record 3
{"formula": "Li2CuSn2", "functional": "PBE-GGA", "state": "optimized geometry", "dos_at_fermi_per_ev_cell": 2.0, "mass_density_g_cm3": 5.1, "ef_ev_per_atom": -0.18, "final_energy_ev_per_atom": -3.37, "m_tot_mub_per_fu": 0.00, "lattice": [[6.846, 0.000, 0.000], [0.000, 6.846, 0.000], [0.000, 0.000, 4.402]], "species": ["Li", "Li", "Li", "Li", "Cu", "Cu", "Sn", "Sn", "Sn", "Sn"], "fractional_positions": [[0.154, 0.346, 0.000], [0.346, 0.846, 0.000], [0.654, 0.154, 0.000], [0.846, 0.654, 0.000], [0.000, 0.000, 0.500], [0.500, 0.500, 0.500], [0.151, 0.651, 0.500], [0.349, 0.151, 0.500], [0.651, 0.849, 0.500], [0.849, 0.349, 0.500]]}

Record 4
{"formula": "Li3Cu2Sn2", "functional": "PBE-GGA", "state": "optimized geometry", "dos_at_fermi_per_ev_cell": 2.4, "mass_density_g_cm3": 5.1, "polymorph_energy_ev_per_atom": 0.2545, "ef_ev_per_atom": -0.03, "final_energy_ev_per_atom": -3.16, "m_tot_mub_per_fu": 0.00, "lattice": [[4.312, 0.000, 0.000], [0.000, 2.994, 0.000], [-2.162, 0.000, 9.724]], "species": ["Li", "Li", "Li", "Cu", "Cu", "Sn", "Sn"], "fractional_positions": [[0.000, 0.000, 0.000], [0.286, 0.000, 0.572], [0.714, 0.000, 0.428], [0.138, 0.000, 0.275], [0.862, 0.000, 0.725], [0.416, 0.500, 0.832], [0.584, 0.500, 0.168]]}

Record 5
{"formula": "LiCu2Sn2", "functional": "PBE-GGA", "state": "optimized geometry", "dos_at_fermi_per_ev_cell": 3.6, "mass_density_g_cm3": 6.4, "polymorph_energy_ev_per_atom": 0.1529, "ef_ev_per_atom": 0.03, "final_energy_ev_per_atom": -3.59, "m_tot_mub_per_fu": 0.00, "lattice": [[7.687, 0.000, 0.000], [0.000, 7.687, 0.000], [0.000, 0.000, 3.250]], "species": ["Li", "Li", "Cu", "Cu", "Cu", "Cu", "Sn", "Sn", "Sn", "Sn"], "fractional_positions": [[0.000, 0.000, 0.000], [0.500, 0.500, 0.000], [0.126, 0.374, 0.500], [0.374, 0.874, 0.500], [0.626, 0.126, 0.500], [0.874, 0.626, 0.500], [0.167, 0.667, 0.000], [0.333, 0.167, 0.000], [0.667, 0.833, 0.000], [0.833, 0.333, 0.000]]}

Record 6
{"formula": "LiCu2Sn4", "functional": "PBE-GGA", "state": "optimized geometry", "dos_at_fermi_per_ev_cell": 2.2, "mass_density_g_cm3": 6.6, "ef_ev_per_atom": -0.06, "final_energy_ev_per_atom": -3.79, "m_tot_mub_per_fu": 0.00, "lattice": [[2.197, 1.269, 9.118], [-2.197, 1.269, 9.118], [0.000, -2.537, 9.118]], "species": ["Li", "Cu", "Cu", "Sn", "Sn", "Sn", "Sn"], "fractional_positions": [[0.000, 0.000, 0.000], [0.097, 0.097, 0.097], [0.903, 0.903, 0.903], [0.203, 0.203, 0.203], [0.388, 0.388, 0.388], [0.612, 0.612, 0.612], [0.797, 0.797, 0.797]]}

Record 7
{"formula": "LiCu2Sn2", "functional": "PBE-GGA", "state": "optimized geometry", "dos_at_fermi_per_ev_cell": 1.6, "mass_density_g_cm3": 6.2, "polymorph_energy_ev_per_atom": 0.1313, "ef_ev_per_atom": 0.01, "final_energy_ev_per_atom": -3.61, "m_tot_mub_per_fu": 0.00, "lattice": [[-1.983, 1.983, 6.304], [1.983, -1.983, 6.304], [1.983, 1.983, -6.304]], "species": ["Li", "Cu", "Cu", "Sn", "Sn"], "fractional_positions": [[0.000, 0.000, 0.000], [0.250, 0.750, 0.500], [0.750, 0.250, 0.500], [0.387, 0.387, 0.000], [0.613, 0.613, 0.000]]}

Record 8
{"formula": "LiCuSn3", "functional": "PBE-GGA", "state": "optimized geometry", "dos_at_fermi_per_ev_cell": 2.5, "mass_density_g_cm3": 5.2, "polymorph_energy_ev_per_atom": 0.2292, "ef_ev_per_atom": 0.18, "final_energy_ev_per_atom": -3.42, "m_tot_mub_per_fu": 0.00, "lattice": [[5.143, 0.000, 0.000], [0.000, 5.143, 0.000], [0.000, 0.000, 5.143]], "species": ["Li", "Cu", "Sn", "Sn", "Sn"], "fractional_positions": [[0.000, 0.000, 0.000], [0.500, 0.500, 0.500], [0.000, 0.500, 0.500], [0.500, 0.000, 0.500], [0.500, 0.500, 0.000]]}